1.
{"formula": "NaSr2Br2", "functional": "GGA-PBEsol", "state": "optimized geometry", "magnetic_moment_mub_per_cell": 0.6, "raw_formation_energy_kj_per_mol_fu": -470, "lattice": [[-3.455, 4.516, -1.890], [-0.785, -1.883, 6.434], [2.429, 3.590, 4.137]], "species": ["Sr", "Sr", "Br", "Br", "Na"], "fractional_positions": [[0.750, 0.500, 0.750], [0.250, 0.500, 0.250], [0.676, 0.353, 0.324], [0.324, 0.647, 0.676], [0.000, 0.000, 0.000]]}

***

2.
{"formula": "Na3SrBr", "functional": "GGA-PBEsol", "state": "optimized geometry", "magnetic_moment_mub_per_cell": 0.3, "raw_formation_energy_kj_per_mol_fu": -180, "lattice": [[5.876, 0.000, 0.000], [0.000, 5.876, 0.000], [0.000, 0.000, 5.876]], "species": ["Sr", "Br", "Na", "Na", "Na"], "fractional_positions": [[0.500, 0.500, 0.500], [0.000, 0.000, 0.000], [0.000, 0.500, 0.000], [0.000, 0.000, 0.500], [0.500, 0.000, 0.000]]}

***

3.
{"formula": "NaSr2TiBr", "functional": "GGA-PBEsol", "state": "optimized geometry", "magnetic_moment_mub_per_cell": 2.9, "raw_formation_energy_kj_per_mol_fu": 91, "lattice": [[4.891, 0.000, 0.000], [0.000, 6.563, 0.000], [0.000, 0.000, 6.563]], "species": ["Sr", "Sr", "Na", "Br", "Ti"], "fractional_positions": [[0.000, 0.000, 0.500], [0.000, 0.500, 0.000], [0.500, 0.500, 0.500], [0.500, 0.000, 0.000], [0.000, 0.000, 0.000]]}

***

4.
{"formula": "NaSrTl2Br", "functional": "GGA-PBEsol", "state": "optimized geometry", "magnetic_moment_mub_per_cell": 0.0, "raw_formation_energy_kj_per_mol_fu": -61, "lattice": [[5.681, 0.000, 0.000], [0.000, 6.408, 0.000], [0.000, 0.000, 6.408]], "species": ["Sr", "Tl", "Tl", "Br", "Na"], "fractional_positions": [[0.000, 0.000, 0.000], [0.000, 0.000, 0.500], [0.000, 0.500, 0.000], [0.500, 0.000, 0.000], [0.500, 0.500, 0.500]]}

***

5.
{"formula": "NaTcWBr2", "functional": "GGA-PBEsol", "state": "optimized geometry", "magnetic_moment_mub_per_cell": 4.8, "raw_formation_energy_kj_per_mol_fu": 844, "lattice": [[-3.756, -2.732, 1.310], [3.028, -3.332, 1.735], [-0.090, 2.532, 5.021]], "species": ["Na", "Br", "Br", "Tc", "W"], "fractional_positions": [[0.000, 0.000, 0.500], [0.000, 0.500, 0.000], [0.500, 0.000, 0.000], [0.000, 0.000, 0.000], [0.500, 0.500, 0.500]]}

***

6.
{"formula": "NaTiBr2", "functional": "GGA-PBEsol", "state": "optimized geometry", "magnetic_moment_mub_per_cell": 2.9, "raw_formation_energy_kj_per_mol_fu": -199, "lattice": [[4.926, 0.000, 0.000], [2.463, 4.266, 0.000], [2.463, 1.422, 4.022]], "species": ["Na", "Br", "Br", "Ti"], "fractional_positions": [[0.000, 0.000, 0.000], [0.250, 0.250, 0.250], [0.750, 0.750, 0.750], [0.500, 0.500, 0.500]]}

***

7.
{"formula": "Na2TiBr", "functional": "GGA-PBEsol", "state": "optimized geometry", "magnetic_moment_mub_per_cell": 5.4, "raw_formation_energy_kj_per_mol_fu": 82, "lattice": [[5.108, 0.000, 0.000], [2.554, 6.731, 0.000], [2.554, 0.000, 6.731]], "species": ["Na", "Na", "Na", "Na", "Br", "Br", "Ti", "Ti"], "fractional_positions": [[0.038, 0.087, 0.587], [0.712, 0.913, 0.413], [0.375, 0.587, 0.913], [0.875, 0.413, 0.087], [0.750, 0.500, 0.500], [0.000, 0.000, 0.000], [0.250, 0.500, 0.500], [0.500, 0.000, 0.000]]}

***

8.
{"formula": "NaTiBr2", "functional": "GGA-PBEsol", "state": "optimized geometry", "magnetic_moment_mub_per_cell": 0.1, "raw_formation_energy_kj_per_mol_fu": -298, "lattice": [[-2.386, -2.480, -0.009], [-0.372, -2.041, 2.746], [-7.474, 4.787, 4.701]], "species": ["Na", "Br", "Br", "Ti"], "fractional_positions": [[0.000, 0.000, 0.000], [0.891, 0.891, 0.328], [0.109, 0.109, 0.672], [0.500, 0.500, 0.500]]}

***

9.
{"formula": "NaTlBr2", "functional": "GGA-PBEsol", "state": "optimized geometry", "magnetic_moment_mub_per_cell": 0.0, "raw_formation_energy_kj_per_mol_fu": -405, "lattice": [[6.965, 0.000, 0.000], [0.000, 6.965, 0.000], [-3.482, -3.482, 6.732]], "species": ["Na", "Na", "Tl", "Tl", "Br", "Br", "Br", "Br"], "fractional_positions": [[0.750, 0.250, 0.500], [0.500, 0.500, 0.000], [0.250, 0.750, 0.500], [0.000, 0.000, 0.000], [0.415, 0.875, 0.250], [0.835, 0.375, 0.250], [0.125, 0.165, 0.750], [0.625, 0.585, 0.750]]}

***

10.
{"formula": "NaTlBr3", "functional": "GGA-PBEsol", "state": "optimized geometry", "magnetic_moment_mub_per_cell": 0.0, "raw_formation_energy_kj_per_mol_fu": -375, "lattice": [[-1.194, -4.876, -2.622], [1.698, -2.875, 4.575], [-5.270, 0.179, 2.068]], "species": ["Na", "Tl", "Br", "Br", "Br"], "fractional_positions": [[0.500, 0.500, 0.500], [0.000, 0.000, 0.000], [0.000, 0.500, 0.000], [0.000, 0.000, 0.500], [0.500, 0.000, 0.000]]}

***

11.
{"formula": "Na3TmBr6", "functional": "GGA-PBEsol", "state": "optimized geometry", "magnetic_moment_mub_per_cell": 0.0, "raw_formation_energy_kj_per_mol_fu": -1606, "lattice": [[7.078, 0.000, 0.055], [0.000, 7.648, 0.000], [0.081, 0.000, 10.535]], "species": ["Na", "Na", "Na", "Na", "Na", "Na", "Tm", "Tm", "Br", "Br", "Br", "Br", "Br", "Br", "Br", "Br", "Br", "Br", "Br", "Br"], "fractional_positions": [[0.500, 0.500, 0.000], [0.000, 0.000, 0.500], [0.462, 0.094, 0.242], [0.538, 0.906, 0.758], [0.038, 0.594, 0.258], [0.962, 0.406, 0.742], [0.500, 0.500, 0.500], [0.000, 0.000, 0.000], [0.334, 0.804, 0.422], [0.666, 0.196, 0.578], [0.166, 0.304, 0.078], [0.834, 0.696, 0.922], [0.647, 0.442, 0.261], [0.353, 0.558, 0.739], [0.853, 0.942, 0.239], [0.147, 0.058, 0.761], [0.185, 0.321, 0.432], [0.815, 0.679, 0.568], [0.315, 0.821, 0.068], [0.685, 0.179, 0.932]]}

***

12.
{"formula": "NaW2Br", "functional": "GGA-PBEsol", "state": "optimized geometry", "magnetic_moment_mub_per_cell": 0.0, "raw_formation_energy_kj_per_mol_fu": 796, "lattice": [[4.526, 0.000, 0.000], [2.263, 3.920, 0.000], [2.263, 1.307, 3.695]], "species": ["Na", "Br", "W", "W"], "fractional_positions": [[0.000, 0.000, 0.000], [0.500, 0.500, 0.500], [0.250, 0.250, 0.250], [0.750, 0.750, 0.750]]}

***

13.
{"formula": "NaY3Br", "functional": "GGA-PBEsol", "state": "optimized geometry", "magnetic_moment_mub_per_cell": 0.0, "raw_formation_energy_kj_per_mol_fu": 364, "lattice": [[5.558, 0.000, 0.000], [0.000, 5.558, 0.000], [0.000, 0.000, 5.558]], "species": ["Y", "Y", "Y", "Na", "Br"], "fractional_positions": [[0.000, 0.500, 0.000], [0.000, 0.000, 0.500], [0.500, 0.000, 0.000], [0.000, 0.000, 0.000], [0.500, 0.500, 0.500]]}

***

14.
{"formula": "NaZnBr3", "functional": "GGA-PBEsol", "state": "optimized geometry", "magnetic_moment_mub_per_cell": 0.0, "raw_formation_energy_kj_per_mol_fu": -449, "lattice": [[-1.168, 0.657, 4.956], [4.364, -2.350, 1.340], [2.440, 4.517, -0.023]], "species": ["Na", "Zn", "Br", "Br", "Br"], "fractional_positions": [[0.500, 0.500, 0.500], [0.000, 0.000, 0.000], [0.000, 0.500, 0.000], [0.000, 0.000, 0.500], [0.500, 0.000, 0.000]]}